## NaHfIn (PBE-GGA)

Data for crystalline NaHfIn at its relaxed geometry.

Values from the calculation:
Total magnetic moment ... 0.0 μB/f.u.
Electronic total energy ... -4.698 eV/atom
Calculated formation energy ... -0.08 eV/f.u.
E above lowest polymorph ... 0.064 eV per atom

Lattice parameters (Å, degrees): 16.2596 16.2596 16.2596 11.60 11.60 11.60
With the nearest neighbours (Å) after each atom.
Atoms (fractional coordinates):
Na 0.0291 0.0291 0.0291  9 Na 3.29-3.63, 3 In 3.35
Na 0.4264 0.4264 0.4264  9 Na 3.29-3.63, 3 In 3.35
Hf 0.9191 0.9191 0.9191  9 Hf 3.04-3.29, 3 In 3.19
Hf 0.2034 0.2034 0.2034  9 Hf 3.04-3.29, 3 In 3.20
In 0.6388 0.6388 0.6388  3 Hf 3.19, 6 In 3.29, 3 Na 3.35
In 0.8168 0.8168 0.8168  3 Hf 3.20, 6 In 3.29, 3 Na 3.35